A geometry-optimized BaCrW2 structure. Source: Alexandria via LeMat-Bulk, functional PBE.

volume = 20.6 A^3/atom
energy of formation = 1.604 eV/atom

The structure in extended XYZ format:
```
4
Lattice="2.769 -5.221 0.000 2.769 5.221 0.000 0.000 0.000 2.849" Properties=species:S:1:pos:R:3 pbc="T T T"
Ba 0.000 0.000 0.000
Cr 2.769 0.000 0.000
W 1.385 2.611 1.425
W 1.385 -2.611 1.425
```


A geometry-optimized Sr3TlO structure. Source: Alexandria via LeMat-Bulk, functional PBE.

volume = 47.4 A^3/atom
ΔE_f (raw) = -0.812 eV/atom

The structure in extended XYZ format:
```
5
Lattice="3.753 0.000 0.000 0.000 3.743 8.437 0.000 -3.743 8.437" Properties=species:S:1:pos:R:3 pbc="T T T"
Sr 0.000 0.000 0.000
Sr 1.876 -2.050 5.426
Sr 1.876 2.050 5.426
Tl 1.876 0.000 2.797
O 0.000 0.000 14.341
```


A geometry-optimized Rb3AuO3 structure. Source: Alexandria via LeMat-Bulk, functional PBE.

volume = 24.4 A^3/atom
ΔE_f (raw) = -0.831 eV/atom

The structure in extended XYZ format:
```
14
Lattice="7.417 0.000 0.000 0.000 5.849 0.000 -1.190 0.000 7.859" Properties=species:S:1:pos:R:3 pbc="T T T"
Rb 0.137 1.462 2.762
Rb 1.978 4.387 0.916
Rb 2.360 4.387 4.911
Rb 3.867 1.462 2.948
Rb 4.249 1.462 6.943
Rb 6.090 4.387 5.097
Au 0.745 1.462 6.596
Au 5.483 4.387 1.263
O -0.366 4.387 2.522
O 2.180 1.462 0.673
O 1.918 1.462 4.936
O 4.310 4.387 2.923
O 4.048 4.387 7.186
O 6.594 1.462 5.336
```


A geometry-optimized BaGe2Au2 structure. Source: Alexandria via LeMat-Bulk, functional PBE.

volume = 23.2 A^3/atom
energy of formation = -0.092 eV/atom

The structure in extended XYZ format:
```
10
Lattice="8.329 0.000 0.000 0.000 8.329 0.000 0.000 0.000 3.341" Properties=species:S:1:pos:R:3 pbc="T T T"
Ba 0.000 0.000 0.000
Ba 4.164 4.164 0.000
Ge 1.349 2.816 1.670
Ge 2.816 6.980 1.670
Ge 5.513 1.349 1.670
Ge 6.980 5.513 1.670
Au 1.035 5.199 0.000
Au 3.130 1.035 0.000
Au 5.199 7.294 0.000
Au 7.294 3.130 0.000
```


A geometry-optimized LiY3Si6 structure. Source: Alexandria via LeMat-Bulk, functional PBE.

volume = 19.3 A^3/atom
ΔE_f (raw) = -0.549 eV/atom

The structure in extended XYZ format:
```
20
Lattice="5.556 3.208 3.610 -5.556 3.208 3.610 0.000 -6.415 3.610" Properties=species:S:1:pos:R:3 pbc="T T T"
Li 0.000 0.000 0.000
Li 0.000 0.000 5.416
Y -3.117 1.016 4.513
Y -2.439 -2.191 6.318
Y 0.678 -3.208 4.513
Y -0.678 3.208 6.318
Y 2.439 2.191 4.513
Y 3.117 -1.016 6.318
Si -0.406 -2.074 1.747
Si -1.593 1.389 1.747
Si -1.593 -1.389 3.668
Si 1.999 0.686 1.747
Si -0.406 2.074 3.668
Si 1.999 -0.686 3.668
Si -1.999 0.686 7.163
Si 0.406 -2.074 7.163
Si -1.999 -0.686 9.084
Si 1.593 1.389 7.163
Si 1.593 -1.389 9.084
Si 0.406 2.074 9.084
```


A geometry-optimized LiV2SiB structure. Source: Alexandria via LeMat-Bulk, functional PBE.

volume = 12.8 A^3/atom
ΔE_f (raw) = 0.208 eV/atom

The structure in extended XYZ format:
```
5
Lattice="4.089 0.000 0.000 0.000 4.089 0.000 0.000 0.000 3.818" Properties=species:S:1:pos:R:3 pbc="T T T"
Li 0.000 0.000 0.000
V 0.000 2.044 1.909
V 2.044 0.000 1.909
Si 2.044 2.044 0.000
B 2.044 2.044 1.909
```


A geometry-optimized AcSe structure. Source: Alexandria via LeMat-Bulk, functional PBE.

volume = 31.5 A^3/atom
ΔE_f (raw) = -1.867 eV/atom

The structure in extended XYZ format:
```
2
Lattice="0.000 3.158 3.158 3.158 0.000 3.158 3.158 3.158 0.000" Properties=species:S:1:pos:R:3 pbc="T T T"
Ac 0.000 0.000 0.000
Se 3.158 3.158 3.158
```


A geometry-optimized Li3Cu2O4 structure. Source: Alexandria via LeMat-Bulk, functional PBE.

volume = 10.4 A^3/atom
ΔE_f (raw) = -1.268 eV/atom

The structure in extended XYZ format:
```
9
Lattice="5.100 -1.393 0.000 5.100 1.393 0.000 -3.088 0.000 6.612" Properties=species:S:1:pos:R:3 pbc="T T T"
Li 0.000 0.000 0.000
Li 1.676 0.000 4.161
Li 5.436 0.000 2.452
Cu -0.865 0.000 5.004
Cu 7.977 0.000 1.609
O 1.714 0.000 2.182
O 4.071 0.000 1.106
O 3.041 0.000 5.507
O 5.399 0.000 4.431
```


What did the fourth record say?
A geometry-optimized BaGe2Au2 structure. Source: Alexandria via LeMat-Bulk, functional PBE.

volume = 23.2 A^3/atom
energy of formation = -0.092 eV/atom

The structure in extended XYZ format:
```
10
Lattice="8.329 0.000 0.000 0.000 8.329 0.000 0.000 0.000 3.341" Properties=species:S:1:pos:R:3 pbc="T T T"
Ba 0.000 0.000 0.000
Ba 4.164 4.164 0.000
Ge 1.349 2.816 1.670
Ge 2.816 6.980 1.670
Ge 5.513 1.349 1.670
Ge 6.980 5.513 1.670
Au 1.035 5.199 0.000
Au 3.130 1.035 0.000
Au 5.199 7.294 0.000
Au 7.294 3.130 0.000
```